First-principles (PBE-GGA) data for Dy5Ho4Tm after structural relaxation, as listed in Alexandria via LeMat-Bulk.

The structure in POSCAR format:
```
Dy5Ho4Tm
1.0
-5.0581 5.0581 3.1122
5.0581 -5.0581 3.1122
5.0581 5.0581 -3.1122
Dy Ho Tm
5 4 1
direct
0.0000 0.0000 0.0000
0.0406 0.4178 0.9172
0.1234 0.0406 0.6228
0.4178 0.5006 0.3772
0.5006 0.1234 0.0828
0.1135 0.7238 0.2990
0.4248 0.8145 0.7010
0.7238 0.4248 0.6103
0.8145 0.1135 0.3897
0.5387 0.5387 0.0000
```

Computed properties:
The energy of formation is 0.310 eV/atom. As for the total magnetization: 0.00 μB/cell.